[1]
A PBEsol-optimized structure of SnGe3N. Source: Alexandria via LeMat-Bulk, functional meta-GGA SCAN.

Structure (CIF):
```
data_SnGe3N
_symmetry_space_group_name_H-M 'P 1'
_symmetry_Int_Tables_number 1
_symmetry_space_group_name_Hall 'P 1'
_cell_length_a 5.282
_cell_length_b 5.282
_cell_length_c 5.282
_cell_angle_alpha 90.00
_cell_angle_beta 90.00
_cell_angle_gamma 90.00
loop_
_atom_site_label
_atom_site_fract_x
_atom_site_fract_y
_atom_site_fract_z
Ge1 0.500 0.000 0.000
Ge2 0.000 0.500 0.000
Ge3 0.000 0.000 0.500
Sn1 0.000 0.000 0.000
N1 0.500 0.500 0.500
```

## Properties
raw total energy: -92.857 eV per cell
symmetry: No. 221
energy relative to the elements, uncorrected: 9.62 eV/f.u.
mass density: 3950 kg/m3

---

[2]
A PBEsol-optimized structure of Li2NiOs. Source: Alexandria via LeMat-Bulk, functional meta-GGA SCAN.

Structure (CIF):
```
data_Li2NiOs
_symmetry_space_group_name_H-M 'P 1'
_symmetry_Int_Tables_number 1
_symmetry_space_group_name_Hall 'P 1'
_cell_length_a 2.476
_cell_length_b 4.325
_cell_length_c 4.325
_cell_angle_alpha 90.00
_cell_angle_beta 90.00
_cell_angle_gamma 90.00
loop_
_atom_site_label
_atom_site_fract_x
_atom_site_fract_y
_atom_site_fract_z
Li1 0.000 0.000 0.500
Li2 0.000 0.500 0.000
Os1 0.500 0.000 0.000
Ni1 0.500 0.500 0.500
```

## Properties
energy above the most stable polymorph in this dataset: 0.385 eV/atom
raw total energy: -91.184 eV per cell
symmetry: No. 123
energy of formation from the pure elements: 39.8 kJ/mol of atoms
mass density: 9422 kg/m3

---

[3]
A PBEsol-optimized structure of Rb2CoP4H8O16. Source: Alexandria via LeMat-Bulk, functional meta-GGA SCAN.

Structure (CIF):
```
data_Rb2CoP4H8O16
_symmetry_space_group_name_H-M 'P 1'
_symmetry_Int_Tables_number 1
_symmetry_space_group_name_Hall 'P 1'
_cell_length_a 6.959
_cell_length_b 7.347
_cell_length_c 7.623
_cell_angle_alpha 81.14
_cell_angle_beta 72.00
_cell_angle_gamma 86.64
loop_
_atom_site_label
_atom_site_fract_x
_atom_site_fract_y
_atom_site_fract_z
O1 0.444 0.215 0.565
O2 0.750 0.654 0.137
O3 0.193 0.610 0.117
O4 0.247 0.933 0.167
O5 0.807 0.390 0.883
O6 0.768 0.997 0.154
O7 0.237 0.672 0.426
O8 0.763 0.328 0.574
O9 0.753 0.067 0.833
O10 0.556 0.785 0.435
O11 0.081 0.234 0.642
O12 0.919 0.766 0.358
O13 0.232 0.003 0.846
O14 0.940 0.290 0.217
O15 0.060 0.710 0.783
O16 0.250 0.346 0.863
H1 0.236 0.969 0.027
H2 0.882 0.175 0.200
H3 0.419 0.734 0.423
H4 0.118 0.825 0.800
H5 0.581 0.266 0.577
H6 0.878 0.312 0.349
H7 0.122 0.688 0.651
H8 0.764 0.031 0.973
Rb1 0.596 0.722 0.800
Rb2 0.404 0.278 0.200
P1 0.842 0.261 0.739
P2 0.257 0.200 0.742
P3 0.158 0.739 0.261
P4 0.743 0.800 0.258
Co1 0.000 0.500 0.000
```

## Properties
raw total energy: -286.195 eV per cell
symmetry: No. 2
mass density: 2801 kg/m3

---

[4]
A PBEsol-optimized structure of CaAl3Sb. Source: Alexandria via LeMat-Bulk, functional meta-GGA SCAN.

Structure (CIF):
```
data_CaAl3Sb
_symmetry_space_group_name_H-M 'P 1'
_symmetry_Int_Tables_number 1
_symmetry_space_group_name_Hall 'P 1'
_cell_length_a 5.411
_cell_length_b 5.411
_cell_length_c 5.411
_cell_angle_alpha 90.00
_cell_angle_beta 90.00
_cell_angle_gamma 90.00
loop_
_atom_site_label
_atom_site_fract_x
_atom_site_fract_y
_atom_site_fract_z
Sb1 0.500 0.500 0.500
Al1 0.000 0.500 0.000
Al2 0.000 0.000 0.500
Al3 0.500 0.000 0.000
Ca1 0.000 0.000 0.000
```

## Properties
raw total energy: -63.616 eV per cell
symmetry: No. 221
energy relative to the elements, uncorrected: 6.56 eV/f.u.
mass density: 2544 kg/m3

---

[5]
A PBEsol-optimized structure of BeCuAs. Source: Alexandria via LeMat-Bulk, functional meta-GGA SCAN.

Structure (CIF):
```
data_BeCuAs
_symmetry_space_group_name_H-M 'P 1'
_symmetry_Int_Tables_number 1
_symmetry_space_group_name_Hall 'P 1'
_cell_length_a 2.812
_cell_length_b 2.812
_cell_length_c 5.581
_cell_angle_alpha 90.00
_cell_angle_beta 90.00
_cell_angle_gamma 120.00
loop_
_atom_site_label
_atom_site_fract_x
_atom_site_fract_y
_atom_site_fract_z
As1 0.000 0.000 0.991
Cu1 0.667 0.333 0.359
Be1 0.333 0.667 0.650
```

## Properties
raw total energy: -38.999 eV per cell
symmetry: No. 156
energy of formation from the pure elements: 23.9 kJ/mol of atoms
mass density: 6408 kg/m3

---

[6]
A PBEsol-optimized structure of SrRu3Cl. Source: Alexandria via LeMat-Bulk, functional meta-GGA SCAN.

Structure (CIF):
```
data_SrRu3Cl
_symmetry_space_group_name_H-M 'P 1'
_symmetry_Int_Tables_number 1
_symmetry_space_group_name_Hall 'P 1'
_cell_length_a 4.426
_cell_length_b 4.426
_cell_length_c 4.426
_cell_angle_alpha 90.00
_cell_angle_beta 90.00
_cell_angle_gamma 90.00
loop_
_atom_site_label
_atom_site_fract_x
_atom_site_fract_y
_atom_site_fract_z
Ru1 0.500 0.000 0.000
Ru2 0.000 0.500 0.000
Ru3 0.000 0.000 0.500
Sr1 0.500 0.500 0.500
Cl1 0.000 0.000 0.000
```

## Properties
raw total energy: -130.469 eV per cell
symmetry: No. 221
energy relative to the elements, uncorrected: 4.26 eV/f.u.
mass density: 8162 kg/m3

---

[7]
A PBEsol-optimized structure of Ir2RuPt. Source: Alexandria via LeMat-Bulk, functional meta-GGA SCAN.

Structure (CIF):
```
data_Ir2RuPt
_symmetry_space_group_name_H-M 'P 1'
_symmetry_Int_Tables_number 1
_symmetry_space_group_name_Hall 'P 1'
_cell_length_a 2.708
_cell_length_b 2.708
_cell_length_c 9.015
_cell_angle_alpha 81.36
_cell_angle_beta 81.36
_cell_angle_gamma 60.00
loop_
_atom_site_label
_atom_site_fract_x
_atom_site_fract_y
_atom_site_fract_z
Ru1 0.000 0.000 0.000
Ir1 0.747 0.747 0.759
Ir2 0.253 0.253 0.241
Pt1 0.500 0.500 0.500
```

## Properties
energy above the most stable polymorph in this dataset: 0.000 eV/atom
raw total energy: -247.246 eV per cell
symmetry: No. 166
energy of formation from the pure elements: -0.7 kJ/mol of atoms
mass density: 20048 kg/m3

---

[8]
A PBEsol-optimized structure of KRePb2. Source: Alexandria via LeMat-Bulk, functional meta-GGA SCAN.

Structure (CIF):
```
data_KRePb2
_symmetry_space_group_name_H-M 'P 1'
_symmetry_Int_Tables_number 1
_symmetry_space_group_name_Hall 'P 1'
_cell_length_a 2.993
_cell_length_b 4.569
_cell_length_c 8.061
_cell_angle_alpha 95.56
_cell_angle_beta 90.00
_cell_angle_gamma 109.12
loop_
_atom_site_label
_atom_site_fract_x
_atom_site_fract_y
_atom_site_fract_z
Re1 0.000 0.000 0.500
K1 0.500 0.000 0.000
Pb1 0.739 0.478 0.694
Pb2 0.261 0.522 0.306
```

## Properties
energy above the most stable polymorph in this dataset: 0.146 eV/atom
raw total energy: -228.578 eV per cell
symmetry: No. 12
energy of formation from the pure elements: 58.1 kJ/mol of atoms
mass density: 10255 kg/m3